Compound: BaNa2Bi2
Source: the Alexandria database
Functional: PBE
Structure: relaxed

Structure (POSCAR):
```
BaNa2Bi2
1.0
-3.702 0.464 3.299
1.789 -3.901 2.556
7.935 8.773 7.668
Ba Na Bi
2 4 4
Cartesian
2.401 -0.589 4.656
3.621 5.925 8.868
7.263 4.727 9.364
-1.242 0.610 4.159
3.491 3.531 5.300
2.531 1.806 8.224
5.574 2.880 7.729
0.447 2.456 5.795
7.467 7.882 9.149
-1.446 -2.546 4.375
```

## Properties
As for the calculated formation energy: -0.52 eV/atom. As for the polymorph energy (0 for the lowest one): 12 meV/atom. The calculation puts the magnetic moment at 0.00 μB/f.u. Its space-group type is P2_1/m. Its calculated density is 5.7 g/cm³.

---

Compound: InS2N
Source: the Alexandria database
Functional: PBE
Structure: relaxed

Structure (POSCAR):
```
InS2N
1.0
-7.528 1.294 2.940
-6.182 4.203 3.333
-7.440 3.379 0.475
S N In
2 1 1
Cartesian
-18.717 7.855 5.973
-2.432 1.021 0.776
-10.575 4.438 3.374
0.000 0.000 0.000
```

## Properties
As for the polymorph energy (0 for the lowest one): 828 meV/atom. For the formation energy without anion corrections, the calculation gives 4.70 eV/f.u. The calculation puts the magnetic moment at 0.00 μB/f.u. Its space-group type is R-3m. Its calculated density is 4.5 g/cm³.

---

Compound: CsSb2Cl8
Source: the Alexandria database
Functional: PBE
Structure: relaxed

Structure (POSCAR):
```
CsSb2Cl8
1.0
5.294 0.308 0.462
-0.452 8.201 -0.284
-0.452 -3.421 7.459
Cs Sb Cl
1 2 8
Cartesian
2.647 0.154 0.231
-0.452 -0.081 5.233
-0.452 4.861 1.941
4.558 5.836 5.212
4.558 2.562 7.393
0.878 2.467 3.703
2.195 5.348 1.950
2.195 -0.260 5.687
3.513 2.620 3.933
-0.168 2.526 0.243
-0.168 -0.748 2.424
```

## Properties
For the formation energy without anion corrections, the calculation gives -10.30 eV/f.u. The calculation puts the magnetic moment at 0.00 μB/f.u. Its space-group type is Cmmm. Its calculated density is 3.4 g/cm³.

---

Compound: Mg2Cu2BPd4
Source: the Alexandria database
Functional: PBE
Structure: relaxed

Structure (POSCAR):
```
Mg2Cu2BPd4
1.0
-2.621 -4.463 2.179
5.613 -0.021 -0.190
-0.148 4.842 2.840
Mg Cu B Pd
2 2 1 4
Cartesian
2.862 -1.037 1.657
-0.019 1.395 3.173
4.021 3.547 1.950
1.444 1.274 0.700
0.000 0.000 0.000
4.141 1.221 0.584
2.786 1.407 3.039
1.324 3.600 2.066
0.057 -1.049 1.791
```

## Properties
As for the calculated formation energy: -0.46 eV/atom. The calculation puts the magnetic moment at 0.00 μB/f.u. Its space-group type is I4/mmm. Its calculated density is 7.9 g/cm³.

---

Compound: ScTlRu
Source: the Alexandria database
Functional: PBE
Structure: relaxed

Structure (POSCAR):
```
ScTlRu
1.0
-3.994 -3.598 0.120
-1.453 -4.711 2.145
-1.939 0.607 2.768
Ru Sc Tl
1 1 1
Cartesian
-1.985 0.490 2.762
-4.214 -5.175 2.442
-3.127 -2.412 2.598
```

## Properties
As for the calculated formation energy: -0.23 eV/atom. The calculation puts the magnetic moment at 0.00 μB/f.u. Its space-group type is I4mm. Its calculated density is 10.3 g/cm³.

---

Compound: Mg2MoRu
Source: the Alexandria database
Functional: PBE
Structure: relaxed

Structure (POSCAR):
```
Mg2MoRu
1.0
2.804 0.006 0.000
-1.054 2.598 0.000
0.000 0.000 9.381
Mg Mo Ru
2 1 1
Cartesian
0.000 0.000 9.157
0.875 1.302 2.474
0.000 0.000 4.877
0.875 1.302 6.944
```

## Properties
As for the calculated formation energy: 0.20 eV/atom. As for the polymorph energy (0 for the lowest one): 214 meV/atom. The calculation puts the magnetic moment at 0.00 μB/f.u. Its space-group type is Cmm2. Its calculated density is 6.0 g/cm³.

---

Compound: As6Pb
Source: the Alexandria database
Functional: PBE
Structure: relaxed

Structure (POSCAR):
```
As6Pb
1.0
6.353 0.000 0.000
-2.118 5.989 0.000
-2.118 -2.995 5.187
As Pb
6 1
Cartesian
-1.059 2.995 2.594
1.059 3.743 1.297
-1.059 0.749 3.890
3.176 0.000 2.594
1.059 -0.749 3.890
3.176 2.246 1.297
0.000 0.000 0.000
```

## Properties
As for the calculated formation energy: 0.38 eV/atom. The calculation puts the magnetic moment at 0.00 μB/f.u. Its space-group type is Im-3m. Its calculated density is 5.5 g/cm³.

---

Compound: NdScCdPd
Source: the Alexandria database
Functional: PBE
Structure: relaxed

Structure (POSCAR):
```
NdScCdPd
1.0
-4.436 -1.581 -1.919
-0.135 -4.014 -3.119
-2.038 -4.382 1.582
Sc Nd Pd Cd
1 1 1 1
Cartesian
0.000 0.000 0.000
-3.304 -4.989 -1.728
-1.652 -2.494 -0.864
-4.956 -7.483 -2.592
```

## Properties
As for the calculated formation energy: -0.45 eV/atom. The calculation puts the magnetic moment at 0.00 μB/f.u. Its space-group type is F-43m. Its calculated density is 7.3 g/cm³.

---

Compound: BaFe2HW
Source: the Alexandria database
Functional: PBE
Structure: relaxed

Structure (POSCAR):
```
BaFe2HW
1.0
4.698 0.000 0.000
0.000 4.698 0.000
0.000 0.000 4.402
H Ba W Fe
1 1 1 2
Cartesian
0.000 0.000 2.201
2.349 2.349 2.201
0.000 0.000 0.000
0.000 2.349 0.000
2.349 0.000 0.000
```

## Properties
The calculation puts the magnetic moment at 3.49 μB/f.u. Its space-group type is P4/mmm. As for the total energy: -6.02 eV/atom. Its calculated density is 7.4 g/cm³.

---

Compound: NiPbW
Source: the Alexandria database
Functional: PBE
Structure: relaxed

Structure (POSCAR):
```
NiPbW
1.0
-3.500 0.050 2.799
3.817 -2.006 1.221
0.959 2.526 1.154
Ni Pb W
1 1 1
Cartesian
0.106 0.279 0.128
-0.866 -0.122 2.507
2.036 0.413 2.539
```

## Properties
As for the calculated formation energy: 0.87 eV/atom. As for the polymorph energy (0 for the lowest one): 241 meV/atom. The calculation puts the magnetic moment at 0.00 μB/f.u. Its space-group type is P3m1. Its calculated density is 14.6 g/cm³.

---

Please write out number 1 again, unchanged.
Compound: BaNa2Bi2
Source: the Alexandria database
Functional: PBE
Structure: relaxed

Structure (POSCAR):
```
BaNa2Bi2
1.0
-3.702 0.464 3.299
1.789 -3.901 2.556
7.935 8.773 7.668
Ba Na Bi
2 4 4
Cartesian
2.401 -0.589 4.656
3.621 5.925 8.868
7.263 4.727 9.364
-1.242 0.610 4.159
3.491 3.531 5.300
2.531 1.806 8.224
5.574 2.880 7.729
0.447 2.456 5.795
7.467 7.882 9.149
-1.446 -2.546 4.375
```

## Properties
As for the calculated formation energy: -0.52 eV/atom. As for the polymorph energy (0 for the lowest one): 12 meV/atom. The calculation puts the magnetic moment at 0.00 μB/f.u. Its space-group type is P2_1/m. Its calculated density is 5.7 g/cm³.

---

- Look up the magnetic moment of the fifth one.
  0.00 μB/f.u.

---

- Which formula does entry 7 have?
  As6Pb